1.
DFT (PBE) results for crystalline Ba2AlCr at its relaxed geometry.

Lattice parameters (Å, degrees): 10.1567 3.7629 8.1482 90.00 98.27 90.00
Space group C2/m (No. 12)
Inequivalent atoms, fractional coordinates:
Ba: 0.2436 0.0000 0.2446 x4
Al: 0.0000 0.5000 0.0000 x2
Cr: 0.0000 0.0000 0.5000 x2

Density in g/cm3: 3.81


2.
DFT (PBE) results for crystalline BaAl2Cr at its relaxed geometry.

Lattice parameters (Å, degrees): 5.2736 5.2736 18.0421 90.00 90.00 90.00
Space group I4_1/amd (No. 141, origin choice 2)
Inequivalent atoms, fractional coordinates:
Ba: 0.0000 0.2500 0.3750 x4
Al: 0.0000 0.0000 0.0000 x8
Cr: 0.0000 0.2500 0.8750 x4

Density in g/cm3: 3.22
Distance to the lowest polymorph of the same formula in meV per atom: 328


3.
DFT (PBE) results for crystalline BaAl2Cr at its relaxed geometry.

Lattice parameters (Å, degrees): 3.2918 4.3042 6.9783 90.00 90.42 90.00
Space group Pm (No. 6)
Inequivalent atoms, fractional coordinates:
Ba: 0.0000 0.0000 0.0000 x1
Al: 0.4926 0.0000 0.4680 x1
Al: 0.4949 0.5000 0.7017 x1
Cr: 0.9899 0.5000 0.4042 x1

Density in g/cm3: 4.09
Distance to the lowest polymorph of the same formula in meV per atom: 189


Volume readings, ordered: 308, 502, 99 Å³ per cell
DFT total energy readings, ordered: -29.3, -70.5, -18.2 eV per cell